Dy8AlGa2: relaxed, GGA-PBE.

The structure in extended XYZ format:
```
11
Lattice="8.9626 -2.5133 0.0000 8.9626 2.5133 0.0000 -1.4496 0.0000 6.6797" Properties=species:S:1:pos:R:3 pbc="T T T"
Dy 0.0892 0.0000 1.7419
Dy 2.3996 0.0000 5.3845
Dy 5.2562 0.0000 3.6055
Dy 7.2646 0.0000 0.2780
Dy 9.2110 0.0000 6.4017
Dy 11.2194 0.0000 3.0743
Dy 14.0760 0.0000 1.2952
Dy 16.3864 0.0000 4.9379
Al 8.2378 0.0000 3.3399
Ga 3.1181 0.0000 1.5787
Ga 13.3575 0.0000 5.1010
```

Values from the calculation:
E_form   -0.257 eV/atom
Calculated total energy   -4.4944 eV per atom
Volume   301 Å³ per cell
DOS(E_F)   9.488 states/eV/f.u.
Spin magnetization   0.00 μB per formula unit
SG   C2/m (12)